Compound: PmTmSi2
Source: the Alexandria database
Functional: PBE
Structure: relaxed

Calculated values
**Density of states at the Fermi level**: 3.47 states/eV per cell
**DFT total energy**: -0.4018 Ry per atom

a = 3.3027 Å, b = 3.3027 Å, c = 8.0322 Å
α = 90.00°, β = 90.00°, γ = 90.00°
Positions (direct):
Si: 0.0000 0.0000 0.7401
Si: 0.0000 0.0000 0.2599
Tm: 0.5000 0.5000 0.5000
Pm: 0.5000 0.5000 0.0000